Record 1
Material: PSe2Cl
Method: DFT, PBE
State: optimized geometry

Lattice parameters (Å, degrees): 4.9626 3.7356 5.2359 90.00 105.38 90.00
Space group P2/m (No. 10)
Asymmetric unit:
1 P 0.0000 0.0000 0.0000 [1 per cell]
2 Se 0.1561 0.5000 0.3646 [2 per cell]
3 Cl 0.5000 0.0000 0.0000 [1 per cell]

Results
As for the energy: -0.262 Ry/atom. The calculation puts the energy relative to the lowest polymorph listed for this composition at 18.0 kJ/mol of atoms. The formation energy from raw total energies is -5 kJ/mol of formula units. The density is 4.0 g cm⁻³.


Record 2
Material: P2SeCl
Method: DFT, PBE
State: optimized geometry

Lattice parameters (Å, degrees): 6.2639 7.0395 4.8176 90.00 129.76 90.00
Space group C2/m (No. 12)
Asymmetric unit:
1 P 0.2500 0.2500 0.0000 [4 per cell]
2 Se 0.0000 0.0000 0.5000 [2 per cell]
3 Cl 0.0000 0.5000 0.5000 [2 per cell]

Results
As for the energy: -0.257 Ry/atom. The calculation puts the energy relative to the lowest polymorph listed for this composition at 60.3 kJ/mol of atoms. The formation energy from raw total energies is 210 kJ/mol of formula units. The density is 3.6 g cm⁻³.


Record 3
Material: P2SeCl
Method: DFT, PBE
State: optimized geometry

Lattice parameters (Å, degrees): 10.4426 3.2118 6.4192 90.00 93.41 90.00
Space group Cm (No. 8)
Asymmetric unit:
1 P 0.0000 0.0000 0.0000 [2 per cell]
2 P 0.0574 0.5000 0.2358 [2 per cell]
3 Se 0.3719 0.0000 0.3938 [2 per cell]
4 Cl 0.1662 0.0000 0.8378 [2 per cell]

Results
As for the energy: -0.303 Ry/atom. The calculation puts the energy relative to the lowest polymorph listed for this composition at 0.2 kJ/mol of atoms. The formation energy from raw total energies is -31 kJ/mol of formula units. The density is 2.7 g cm⁻³.


Record 4
Material: P2SeCl
Method: DFT, PBE
State: optimized geometry

Lattice parameters (Å, degrees): 3.8125 6.9052 6.8227 90.00 90.00 90.00
Space group Cmmm (No. 65)
Asymmetric unit:
1 P 0.0000 0.0000 0.2202 [4 per cell]
2 Se 0.0000 0.5000 0.0000 [2 per cell]
3 Cl 0.0000 0.5000 0.5000 [2 per cell]

Results
As for the energy: -0.252 Ry/atom. The calculation puts the energy relative to the lowest polymorph listed for this composition at 67.2 kJ/mol of atoms. The formation energy from raw total energies is 237 kJ/mol of formula units. The density is 3.3 g cm⁻³.


Record 5
Material: PSeCl3
Method: DFT, PBE
State: optimized geometry

Lattice parameters (Å, degrees): 6.5756 6.6929 9.0255 90.39 90.16 90.48
Space group P1 (No. 1)
Asymmetric unit:
1 P 0.0000 0.0000 0.0000 [1 per cell]
2 P 0.4986 0.2513 0.4995 [1 per cell]
3 Se 0.4330 0.9501 0.4984 [1 per cell]
4 Se 0.9329 0.2998 0.9984 [1 per cell]
5 Cl 0.2993 0.9257 0.0006 [1 per cell]
6 Cl 0.3903 0.4092 0.3245 [1 per cell]
7 Cl 0.3899 0.4107 0.6749 [1 per cell]
8 Cl 0.7976 0.3320 0.5006 [1 per cell]
9 Cl 0.8918 0.8359 0.8255 [1 per cell]
10 Cl 0.8926 0.8424 0.1759 [1 per cell]

Results
As for the energy: -0.250 Ry/atom. The calculation puts the energy relative to the lowest polymorph listed for this composition at 0.0 kJ/mol of atoms. The formation energy from raw total energies is -247 kJ/mol of formula units. The density is 1.8 g cm⁻³.


Record 6
Material: PSeCl2
Method: DFT, PBE
State: optimized geometry

Lattice parameters (Å, degrees): 3.8784 3.8784 7.3225 90.00 90.00 90.00
Space group P4mm (No. 99)
Asymmetric unit:
1 P 0.0000 0.0000 0.0000 [1 per cell]
2 Se 0.5000 0.5000 0.0029 [1 per cell]
3 Cl 0.0000 0.0000 0.2833 [1 per cell]
4 Cl 0.5000 0.5000 0.7032 [1 per cell]

Results
As for the energy: -0.239 Ry/atom. The calculation puts the energy relative to the lowest polymorph listed for this composition at 10.2 kJ/mol of atoms. The formation energy from raw total energies is -42 kJ/mol of formula units. The density is 2.7 g cm⁻³.


Record 7
Material: P2SeCl
Method: DFT, PBE
State: optimized geometry

Lattice parameters (Å, degrees): 3.1604 4.8883 14.5354 90.00 90.00 90.00
Space group Imm2 (No. 44)
Asymmetric unit:
1 P 0.0000 0.0000 0.0000 [2 per cell]
2 P 0.0000 0.5000 0.3836 [2 per cell]
3 Se 0.0000 0.5000 0.6189 [2 per cell]
4 Cl 0.0000 0.0000 0.3795 [2 per cell]

Results
As for the energy: -0.275 Ry/atom. The calculation puts the energy relative to the lowest polymorph listed for this composition at 36.2 kJ/mol of atoms. The formation energy from raw total energies is 113 kJ/mol of formula units. The density is 2.6 g cm⁻³.


Record 8
Material: PSeCl9
Method: DFT, PBE
State: optimized geometry

Lattice parameters (Å, degrees): 16.9148 12.7435 12.7074 90.00 90.00 90.00
Space group Ima2 (No. 46)
Asymmetric unit:
1 P 0.0271 0.2256 0.0000 [8 per cell]
2 Se 0.2500 0.5043 0.2166 [4 per cell]
3 Se 0.2500 0.5972 0.7919 [4 per cell]
4 Cl 0.0377 0.6419 0.4028 [8 per cell]
5 Cl 0.0397 0.6774 0.0799 [8 per cell]
6 Cl 0.0818 0.1305 0.0984 [8 per cell]
7 Cl 0.1063 0.1950 0.4197 [8 per cell]
8 Cl 0.1067 0.5039 0.2200 [8 per cell]
9 Cl 0.1076 0.5914 0.7964 [8 per cell]
10 Cl 0.2500 0.0547 0.8943 [4 per cell]
11 Cl 0.2500 0.0927 0.2832 [4 per cell]
12 Cl 0.2500 0.1591 0.6535 [4 per cell]
13 Cl 0.2500 0.5836 0.0429 [4 per cell]
14 Cl 0.2500 0.6134 0.6198 [4 per cell]
15 Cl 0.2500 0.7127 0.3237 [4 per cell]

Results
As for the energy: -0.206 Ry/atom. The formation energy from raw total energies is -514 kJ/mol of formula units. The density is 2.1 g cm⁻³.


Record 9
Material: PSe2Cl
Method: DFT, PBE
State: optimized geometry

Lattice parameters (Å, degrees): 11.1008 3.4627 6.2969 90.00 90.42 90.00
Space group Cm (No. 8)
Asymmetric unit:
1 P 0.0000 0.0000 0.0000 [2 per cell]
2 Se 0.9998 0.5000 0.7081 [2 per cell]
3 Se 0.3544 0.0000 0.0710 [2 per cell]
4 Cl 0.1608 0.5000 0.4878 [2 per cell]

Results
As for the energy: -0.259 Ry/atom. The calculation puts the energy relative to the lowest polymorph listed for this composition at 23.0 kJ/mol of atoms. The formation energy from raw total energies is 15 kJ/mol of formula units. The density is 3.1 g cm⁻³.


Record 10
Material: PSe2Cl
Method: DFT, PBE
State: optimized geometry

Lattice parameters (Å, degrees): 4.7687 4.7687 6.7209 90.00 90.00 90.00
Space group I-4m2 (No. 119)
Asymmetric unit:
1 P 0.0000 0.0000 0.0000 [2 per cell]
2 Se 0.0000 0.0000 0.5000 [2 per cell]
3 Se 0.0000 0.5000 0.2500 [2 per cell]
4 Cl 0.0000 0.5000 0.7500 [2 per cell]

Results
As for the energy: -0.210 Ry/atom. The calculation puts the energy relative to the lowest polymorph listed for this composition at 86.8 kJ/mol of atoms. The formation energy from raw total energies is 270 kJ/mol of formula units. The density is 4.9 g cm⁻³.


Record 11
Material: P2SeCl
Method: DFT, PBE
State: optimized geometry

Lattice parameters (Å, degrees): 9.5836 3.2411 7.2343 90.00 122.84 90.00
Space group C2/m (No. 12)
Asymmetric unit:
1 P 0.1955 0.0000 0.3692 [4 per cell]
2 Se 0.0000 0.0000 0.5000 [2 per cell]
3 Cl 0.0000 0.5000 0.0000 [2 per cell]

Results
As for the energy: -0.277 Ry/atom. The calculation puts the energy relative to the lowest polymorph listed for this composition at 33.4 kJ/mol of atoms. The formation energy from raw total energies is 102 kJ/mol of formula units. The density is 3.1 g cm⁻³.


Record 12
Material: PSe2Cl
Method: DFT, PBE
State: optimized geometry

Lattice parameters (Å, degrees): 3.3184 9.4139 8.1067 90.00 90.00 90.00
Space group Cmm2 (No. 35)
Asymmetric unit:
1 P 0.0000 0.0000 0.0000 [2 per cell]
2 Se 0.0000 0.0000 0.5329 [2 per cell]
3 Se 0.0000 0.5000 0.7932 [2 per cell]
4 Cl 0.0000 0.5000 0.2361 [2 per cell]

Results
As for the energy: -0.232 Ry/atom. The calculation puts the energy relative to the lowest polymorph listed for this composition at 57.8 kJ/mol of atoms. The formation energy from raw total energies is 154 kJ/mol of formula units. The density is 2.9 g cm⁻³.


Record 13
Material: P2SeCl
Method: DFT, PBE
State: optimized geometry

Lattice parameters (Å, degrees): 3.5187 3.5187 22.1069 90.00 90.00 120.00
Space group R3m (No. 160, hexagonal axes)
Asymmetric unit:
1 P 0.0000 0.0000 0.0000 [3 per cell]
2 P 0.0000 0.0000 0.2804 [3 per cell]
3 Se 0.0000 0.0000 0.5433 [3 per cell]
4 Cl 0.0000 0.0000 0.7466 [3 per cell]

Results
As for the energy: -0.282 Ry/atom. The calculation puts the energy relative to the lowest polymorph listed for this composition at 26.7 kJ/mol of atoms. The formation energy from raw total energies is 75 kJ/mol of formula units. The density is 3.7 g cm⁻³.